Entry from Alexandria via LeMat-Bulk: a geometry-optimized Mo2IrRh structure (PBE).

Spin magnetization = 0.00 μB per cell
Mass density = 13.44 Mg/m³
ΔE_f = -0.3 eV per formula unit
VASP energy = -38.19 eV/f.u.
Space group = No. 166
Offset from the most stable computed form = 177.6 meV/atom

a b c (Å): 9.1666 9.1666 9.1666
angles (deg): 17.41 17.41 17.41
With the nearest neighbours (Å) after each atom.
Fractional coordinates of all 4 atoms:
Rh 0.2500 0.2500 0.2500  6 Mo 2.77, 6 Rh 2.77
Ir 0.7500 0.7500 0.7500  6 Mo 2.77, 6 Ir 2.77
Mo 0.5000 0.5000 0.5000  3 Ir 2.77, 3 Rh 2.77, 6 Mo 2.77
Mo 0.0000 0.0000 0.0000  3 Ir 2.77, 3 Rh 2.77, 6 Mo 2.77